(1)
VASP calculation (meta-GGA SCAN) on CaHf3Ge at its PBEsol-relaxed geometry.

a b c (Å): 4.885 4.885 4.885
angles (deg): 90.00 90.00 90.00
Space group Pm-3m (No. 221)
Unique sites:
Ca (0.000, 0.000, 0.000) [1 per cell]
Hf (0.000, 0.000, 0.500) [3 per cell]
Ge (0.500, 0.500, 0.500) [1 per cell]

- ΔE_f (meV per atom) = 1934
- relative energy among the computed polymorphs (kJ/mol of formula units) = 757
- DOS at the Fermi energy (states/eV per cell) = 6.92

***

(2)
VASP calculation (meta-GGA SCAN) on Ca2FeSe at its PBEsol-relaxed geometry.

a b c (Å): 3.467 3.467 8.042
angles (deg): 90.00 90.00 90.00
Space group P4mm (No. 99)
Unique sites:
Ca (0.000, 0.000, 0.000) [1 per cell]
Ca (0.500, 0.500, 0.405) [1 per cell]
Fe (0.000, 0.000, 0.643) [1 per cell]
Se (0.500, 0.500, 0.774) [1 per cell]

- relative energy among the computed polymorphs (kJ/mol of formula units) = 141
- uncorrected formation energy (kJ per mole of atoms) = -26.7
- DOS at the Fermi energy (states/eV per cell) = 2.62